Entry 1:
Density functional theory data (PBE) for an optimized crystal structure of TeP2Br.

Unit cell a=4.822 b=4.822 c=3.557 alpha=90.00 beta=90.00 gamma=90.00
Space group P4/mmm (No. 123)
Symmetry-distinct sites (fractional):
Te 0.000 0.000 0.000
P 0.000 0.500 0.500
Br 0.500 0.500 0.000

Output
- Formation energy from raw total energies: 860.5 meV/atom
- Distance to the lowest polymorph of the same formula: 0.829 eV/atom
- Total magnetization: 0.000 μB per atom
- Fermi-level density of states: 0.808 states/eV per atom

Entry 2:
Density functional theory data (PBE) for an optimized crystal structure of TeP2Br.

Unit cell a=3.235 b=8.418 c=10.065 alpha=90.00 beta=90.00 gamma=90.00
Space group Cmm2 (No. 35)
Symmetry-distinct sites (fractional):
Te 0.000 0.000 0.000
P 0.000 0.000 0.430
P 0.000 0.500 0.293
Br 0.000 0.500 0.775

Output
- Formation energy from raw total energies: 363.2 meV/atom
- Distance to the lowest polymorph of the same formula: 0.332 eV/atom
- Total magnetization: 0.000 μB per atom
- Fermi-level density of states: 0.501 states/eV per atom

Question: What is the total magnetization in the first record?
Answer: 0.000 μB per atom